[1]
VASP calculation (GGA-PBE) on crystalline Tb2PrSm5 at its relaxed geometry.

Results
ΔE_f, meV/atom: 15
Symmetry: Pbam

Lattice parameters (Å, degrees): 7.250 14.499 5.111 90.00 90.00 90.00
Fractional positions:
Tb 0.250 0.125 0.000
Tb 0.250 0.625 0.000
Tb 0.750 0.375 0.000
Tb 0.750 0.875 0.000
Pr 0.000 0.000 0.500
Pr 0.500 0.500 0.500
Sm 0.000 0.500 0.500
Sm 0.001 0.749 0.500
Sm 0.249 0.374 0.000
Sm 0.251 0.874 0.000
Sm 0.499 0.249 0.500
Sm 0.500 0.000 0.500
Sm 0.501 0.751 0.500
Sm 0.749 0.126 0.000
Sm 0.751 0.626 0.000
Sm 0.999 0.251 0.500

=====

[2]
VASP calculation (GGA-PBE) on crystalline LiCrFe at its relaxed geometry.

Results
ΔE_f, meV/atom: 325
Symmetry: P3m1

Lattice parameters (Å, degrees): 4.044 4.044 2.376 90.00 90.00 120.00
Fractional positions:
Li 0.000 0.000 0.000
Cr 0.667 0.333 0.368
Fe 0.333 0.667 0.650

=====

Values of ΔE to the lowest computed polymorph, in order: 0.0, 177.7, all in meV per atom.